DFT (PBE+U) results for crystalline Ba5V3ClO12 at its relaxed geometry.

The space group is P6_3/m (No. 176) and the conventional cell measures 10.7693, 10.7693 and 7.8377 Å, with angles of 90.00, 90.00 and 120.00 degrees. The distinct sites, in fractional coordinates, are Ba at (0.0063, 0.7513, 0.2500), Ba at (0.3333, 0.6667, 0.0013), V at (0.0340, 0.6288, 0.7500), Cl at (0.0000, 0.0000, 0.0000), O at (0.0955, 0.7405, 0.5729), O at (0.1239, 0.5307, 0.7500) and O at (0.1529, 0.4803, 0.2500).

As for the size of the total moment: 0.0 μB/cell. The density of states at the Fermi level is 0.00 states/eV per atom. The raw total energy is -7.059 eV per atom.